Al3ZnCr | PBE-GGA | optimized geometry

Geometry as CIF:
```
data_Al3ZnCr
_cell_length_a 4.7233
_cell_length_b 4.7233
_cell_length_c 4.7233
_cell_angle_alpha 90.00
_cell_angle_beta 90.00
_cell_angle_gamma 90.00
_symmetry_space_group_name_H-M 'P 1'
_symmetry_Int_Tables_number 1
loop_
_symmetry_equiv_pos_as_xyz
'x,y,z'
loop_
_atom_site_label
_atom_site_fract_x
_atom_site_fract_y
_atom_site_fract_z
Cr1 0.0000 0.0000 0.0000
Zn1 0.5000 0.5000 0.5000
Al1 0.0000 0.5000 0.0000
Al2 0.0000 0.0000 0.5000
Al3 0.5000 0.0000 0.0000
```

## Properties
As for the total magnetization: 2.25 μB per formula unit. The symmetry is Pm-3m. The value obtained for the offset from the most stable computed form is 554.9 meV per atom. The calculation puts the formation energy at 3.15 eV per formula unit.


ErZn4Ni2 | PBE-GGA | optimized geometry

Geometry as CIF:
```
data_ErZn4Ni2
_cell_length_a 3.8886
_cell_length_b 3.9086
_cell_length_c 7.4995
_cell_angle_alpha 105.11
_cell_angle_beta 90.00
_cell_angle_gamma 90.00
_symmetry_space_group_name_H-M 'P 1'
_symmetry_Int_Tables_number 1
loop_
_symmetry_equiv_pos_as_xyz
'x,y,z'
loop_
_atom_site_label
_atom_site_fract_x
_atom_site_fract_y
_atom_site_fract_z
Er1 0.0000 0.0000 0.0000
Zn1 0.5000 0.8165 0.6330
Zn2 0.0000 0.6817 0.3634
Zn3 0.5000 0.1835 0.3670
Zn4 0.0000 0.3183 0.6366
Ni1 0.5000 0.5796 0.1592
Ni2 0.5000 0.4204 0.8408
```

## Properties
As for the total magnetization: 0.00 μB per formula unit. The symmetry is Cmmm. The value obtained for the offset from the most stable computed form is 2.1 meV per atom. The calculation puts the formation energy at -1.99 eV per formula unit.


ScSi3Br | PBE-GGA | optimized geometry

Geometry as CIF:
```
data_ScSi3Br
_cell_length_a 4.8853
_cell_length_b 4.8853
_cell_length_c 4.8853
_cell_angle_alpha 90.00
_cell_angle_beta 90.00
_cell_angle_gamma 90.00
_symmetry_space_group_name_H-M 'P 1'
_symmetry_Int_Tables_number 1
loop_
_symmetry_equiv_pos_as_xyz
'x,y,z'
loop_
_atom_site_label
_atom_site_fract_x
_atom_site_fract_y
_atom_site_fract_z
Sc1 0.5000 0.5000 0.5000
Si1 0.0000 0.5000 0.0000
Si2 0.0000 0.0000 0.5000
Si3 0.5000 0.0000 0.0000
Br1 0.0000 0.0000 0.0000
```

## Properties
As for the total magnetization: 0.00 μB per formula unit. The symmetry is Pm-3m. The formation energy from raw total energies is 1.0537 eV/atom. The value obtained for the offset from the most stable computed form is 121.4 meV per atom.